# 1
DFT (GGA-PBE) results for a geometry-optimized GdPuZnFe structure.

DOS at the Fermi energy = 9.45 states/eV/f.u.
DFT total energy = -152.166 eV/cell
calculated formation energy = 0.03 eV/atom

Cell and atoms, written as CIF:
```
data_GdPuZnFe
_cell_length_a 6.9633
_cell_length_b 6.9633
_cell_length_c 6.9633
_cell_angle_alpha 90.00
_cell_angle_beta 90.00
_cell_angle_gamma 90.00
_space_group_name_H-M_alt 'F -4 3 m'
_space_group_IT_number 216
_space_group_name_Hall 'F -4 2 3'
loop_
_atom_site_label
_atom_site_fract_x
_atom_site_fract_y
_atom_site_fract_z
_atom_site_occupancy
Gd1 0.0000 0.0000 0.0000 1
Pu1 0.0000 0.0000 0.5000 1
Zn1 0.2500 0.2500 0.7500 1
Fe1 0.2500 0.2500 0.2500 1
```

# 2
DFT (GGA-PBE) results for a geometry-optimized LiZn4Ni structure.

DOS at the Fermi energy = 2.63 states/eV/f.u.
DFT total energy = -52.433 eV/cell
calculated formation energy = -0.05 eV/atom
polymorph energy (0 for the lowest one) = 10.1 kJ/mol of atoms

Cell and atoms, written as CIF:
```
data_LiZn4Ni
_cell_length_a 7.0099
_cell_length_b 7.0099
_cell_length_c 7.0099
_cell_angle_alpha 90.00
_cell_angle_beta 90.00
_cell_angle_gamma 90.00
_space_group_name_H-M_alt 'F -4 3 m'
_space_group_IT_number 216
_space_group_name_Hall 'F -4 2 3'
loop_
_atom_site_label
_atom_site_fract_x
_atom_site_fract_y
_atom_site_fract_z
_atom_site_occupancy
Li1 0.0000 0.0000 0.0000 1
Zn1 0.1245 0.1245 0.3755 1
Ni1 0.2500 0.2500 0.7500 1
```

# 3
DFT (GGA-PBE) results for a geometry-optimized Hg2IrOs structure.

DOS at the Fermi energy = 4.35 states/eV/f.u.
DFT total energy = -62.811 eV/cell
calculated formation energy = 1.25 eV/atom
polymorph energy (0 for the lowest one) = 79.7 kJ/mol of atoms

Cell and atoms, written as CIF:
```
data_Hg2IrOs
_cell_length_a 7.6509
_cell_length_b 7.6509
_cell_length_c 5.2836
_cell_angle_alpha 90.00
_cell_angle_beta 90.00
_cell_angle_gamma 90.00
_space_group_name_H-M_alt 'I -4 2 d'
_space_group_IT_number 122
_space_group_name_Hall 'I -4 2bw'
loop_
_atom_site_label
_atom_site_fract_x
_atom_site_fract_y
_atom_site_fract_z
_atom_site_occupancy
Hg1 0.2502 0.2500 0.1250 1
Ir1 0.0000 0.0000 0.0000 1
Os1 0.0000 0.0000 0.5000 1
```

Number 1 is which compound? GdPuZnFe

Which value of DOS at the Fermi energy does entry 3 give? 4.35 states/eV/f.u.

Look up the DFT total energy of the third one. -62.811 eV/cell

calculated formation energy of number 2 (LiZn4Ni)? -0.05 eV/atom